Entry 1:
ScIBr3 | the Alexandria database | PBE | optimized geometry; energy above the most stable polymorph in this dataset = 30.8 kJ/mol of atoms; energy relative to the elements, uncorrected = -1.018 eV per atom; calculated total energy = -3.60 eV per atom; space group = No. 167
1.0
6.704 0.000 3.932
-3.352 5.806 3.932
-3.352 -5.806 3.932
I Sc Br
2 2 6
Cartesian
0.000 0.000 0.000 I
0.000 0.000 5.898 I
0.000 0.000 2.949 Sc
0.000 0.000 8.847 Sc
-2.159 1.246 2.949 Br
2.159 1.246 2.949 Br
0.000 -2.493 2.949 Br
0.000 2.493 8.847 Br
-2.159 -1.246 8.847 Br
2.159 -1.246 8.847 Br



Entry 2:
Pr2TlRhO5 | the Alexandria database | PBE | optimized geometry; energy relative to the elements, uncorrected = -2.025 eV per atom; calculated total energy = -6.92 eV per atom; space group = No. 127
1.0
-1.359 -5.492 1.579
3.871 -2.465 -5.244
5.566 -0.173 4.189
Pr Tl Rh O
4 2 2 10
Cartesian
2.932 -4.447 -2.020 Pr
1.803 -3.240 1.208 Pr
6.276 -4.890 -0.684 Pr
5.146 -3.683 2.544 Pr
4.718 -1.319 -0.528 Tl
0.000 0.000 0.000 Tl
2.783 -0.086 2.095 Rh
1.935 -1.233 -2.622 Rh
4.039 -4.065 0.262 O
-0.679 -2.746 0.789 O
3.671 -1.828 2.358 O
5.075 -3.604 -2.610 O
1.811 -2.330 -0.988 O
6.934 -3.102 0.736 O
3.004 -4.526 3.134 O
6.267 -5.800 1.511 O
4.407 -6.302 -1.835 O
1.144 -5.028 -0.212 O



Entry 3:
La3BiN | the Alexandria database | PBE | optimized geometry; energy relative to the elements, uncorrected = -0.842 eV per atom; calculated total energy = -6.24 eV per atom; space group = No. 14
1.0
21.980 0.000 -2.094
0.000 6.915 0.000
-7.786 0.000 4.471
N Bi La
4 4 12
Cartesian
-2.136 2.169 3.001 N
16.330 4.745 -0.624 N
1.447 5.627 2.658 N
12.747 1.288 -0.281 N
5.754 5.265 1.023 Bi
8.440 1.650 1.354 Bi
1.343 1.807 0.165 Bi
12.851 5.107 2.211 Bi
-0.562 0.114 2.781 La
14.756 6.801 -0.404 La
-0.127 3.571 2.878 La
14.321 3.344 -0.501 La
4.977 1.852 0.718 La
9.217 5.063 1.658 La
2.120 5.309 0.470 La
12.074 1.606 1.907 La
11.366 5.440 -0.844 La
2.829 1.475 3.220 La
17.712 1.982 -0.062 La
-3.517 4.933 2.439 La



Entry 4:
BeCuP2Cl | the Alexandria database | PBE | optimized geometry; energy above the most stable polymorph in this dataset = 0.0 kJ/mol of atoms; energy relative to the elements, uncorrected = 0.646 eV per atom; calculated total energy = -3.45 eV per atom; space group = No. 123
1.0
3.940 0.000 0.000
0.000 3.940 0.000
0.000 0.000 6.683
P Be Cu Cl
2 1 1 1
Cartesian
0.000 1.970 0.000 P
1.970 0.000 0.000 P
0.000 0.000 0.000 Be
1.970 1.970 3.342 Cu
0.000 0.000 3.342 Cl



Entry 5:
LiTa3In | the Alexandria database | PBE | optimized geometry; energy above the most stable polymorph in this dataset = 116.5 kJ/mol of atoms; calculated total energy = -5.88 eV per atom; space group = No. 221
1.0
-2.986 3.660 1.849
-1.820 -3.233 3.460
3.675 1.374 3.216
In Li Ta
1 1 3
Cartesian
0.000 0.000 0.000 In
-0.565 0.901 4.263 Li
-0.910 -1.616 1.730 Ta
1.838 0.687 1.608 Ta
-1.493 1.830 0.925 Ta



Entry 6:
KSmPb2 | the Alexandria database | PBE | optimized geometry; energy above the most stable polymorph in this dataset = 12.7 kJ/mol of atoms; calculated total energy = -3.49 eV per atom; space group = No. 166
1.0
3.791 0.000 0.000
1.896 3.283 0.000
1.896 1.094 11.013
Pb K Sm
2 1 1
Cartesian
5.687 3.283 8.432 Pb
1.896 1.094 2.581 Pb
3.791 2.189 5.506 K
0.000 0.000 0.000 Sm



Entry 7:
GdPaIr | the Alexandria database | PBE | optimized geometry; energy above the most stable polymorph in this dataset = 0.0 kJ/mol of atoms; calculated total energy = -11.32 eV per atom; space group = No. 107
1.0
-1.833 1.506 -2.699
-1.430 -3.195 -0.811
-2.526 1.847 5.139
Gd Pa Ir
1 1 1
Cartesian
-0.042 0.010 0.034 Gd
-2.525 0.608 2.055 Pa
-3.223 -0.461 -0.460 Ir



Entry 8:
Na2AcCu3O6 | the Alexandria database | PBE | optimized geometry; energy relative to the elements, uncorrected = -1.264 eV per atom; calculated total energy = -5.33 eV per atom; space group = No. 123
1.0
-2.550 -2.901 -0.272
1.649 -1.735 3.043
-7.322 5.758 7.252
Na Ac Cu O
2 1 3 6
Cartesian
-1.924 -1.159 2.845 Na
-6.299 2.281 7.178 Na
-4.111 0.561 5.012 Ac
-2.365 1.859 2.342 Cu
-4.958 3.898 4.910 Cu
0.000 0.000 0.000 Cu
-3.883 2.834 6.184 O
-3.889 0.605 2.454 O
-5.983 2.251 4.527 O
-1.072 0.843 1.061 O
-1.790 1.188 4.111 O
-6.251 4.915 6.191 O



Entry 9:
AcHgAs | the Alexandria database | PBE | optimized geometry; energy above the most stable polymorph in this dataset = 0.0 kJ/mol of atoms; calculated total energy = -3.82 eV per atom; space group = No. 11
1.0
4.609 0.067 0.724
-0.089 6.416 -0.030
-0.950 -3.141 6.338
Hg As Ac
2 2 2
Cartesian
3.304 4.576 1.090 Hg
0.266 -1.234 5.941 Hg
0.775 3.213 2.284 As
2.795 0.129 4.748 As
2.758 3.309 4.688 Ac
0.812 0.033 2.344 Ac



Which formula does entry 2 have?
Pr2TlRhO5